(1)
The following is a DFT calculation (PBE-GGA) of crystalline Cu2TcPt at its relaxed geometry.

The calculation puts the calculated formation energy at 0.06 eV/atom. The symmetry is R-3m.

Cell lengths 8.8059, 8.8059, 8.8059 Å; angles 17.70, 17.70, 17.70 degrees
Closest atoms and distances in Å follow each position.
Positions (direct):
Cu 0.0007 0.0007 0.0007  3 Tc 2.66, 3 Pt 2.69, 6 Cu 2.71
Cu 0.4993 0.4993 0.4993  3 Tc 2.66, 3 Pt 2.69, 6 Cu 2.71
Pt 0.2500 0.2500 0.2500  6 Cu 2.69, 6 Pt 2.71
Tc 0.7500 0.7500 0.7500  6 Cu 2.66, 6 Tc 2.71

***

(2)
The following is a DFT calculation (PBE-GGA) of crystalline Ba2Hf4F at its relaxed geometry.

The symmetry is I4/mmm. The formation energy from raw total energies comes out at 166 kJ/mol of formula units.

Cell lengths 4.6361, 4.6361, 10.3249 Å; angles 77.03, 77.03, 90.00 degrees
Closest atoms and distances in Å follow each position.
Positions (direct):
Hf 0.8881 0.8881 0.2238  1 F 2.19
Hf 0.1119 0.1119 0.7762  1 F 2.19
Hf 0.0000 0.5000 0.0000  2 F 2.32
Hf 0.5000 0.0000 0.0000  2 F 2.32
Ba 0.6708 0.6708 0.6584  4 Hf 3.48
Ba 0.3292 0.3292 0.3416  4 Hf 3.48
F 0.0000 0.0000 0.0000  6 Hf 2.19-2.32

***

(3)
The following is a DFT calculation (PBE-GGA) of crystalline AlInS2 at its relaxed geometry.

The symmetry is Pnma. The formation energy from raw total energies comes out at -275 kJ/mol of formula units.

Cell lengths 8.2984, 3.3749, 13.1968 Å; angles 90.00, 90.00, 90.00 degrees
Closest atoms and distances in Å follow each position.
Positions (direct):
S 0.6600 0.2500 0.5540  3 Al 2.32-2.40
S 0.8400 0.7500 0.0540  3 Al 2.32-2.40
S 0.3400 0.7500 0.4460  3 Al 2.32-2.40
S 0.1600 0.2500 0.9460  3 Al 2.32-2.40
S 0.3460 0.2500 0.6993  2 Al 2.35
S 0.1540 0.7500 0.1993  2 Al 2.35
S 0.6540 0.7500 0.3007  2 Al 2.35
S 0.8460 0.2500 0.8007  2 Al 2.35
Al 0.5313 0.2500 0.3979  5 S 2.32-2.40
Al 0.9687 0.7500 0.8979  5 S 2.32-2.40
Al 0.4687 0.7500 0.6021  5 S 2.32-2.40
Al 0.0313 0.2500 0.1021  5 S 2.32-2.40
In 0.0086 0.2500 0.6144  3 S 2.80-3.02
In 0.4914 0.7500 0.1144  3 S 2.80-3.02
In 0.9914 0.7500 0.3856  3 S 2.80-3.02
In 0.5086 0.2500 0.8856  3 S 2.80-3.02

***

(4)
The following is a DFT calculation (PBE-GGA) of crystalline HfSbI at its relaxed geometry.

The symmetry is P2_1/m. The formation energy from raw total energies comes out at -151 kJ/mol of formula units.

Cell lengths 5.7030, 12.0783, 7.9819 Å; angles 131.30, 90.00, 90.00 degrees
Closest atoms and distances in Å follow each position.
Positions (direct):
I 0.2500 0.3438 0.7182  2 Hf 2.94
I 0.7500 0.6562 0.7818  2 Hf 2.94
I 0.7500 0.6562 0.2818  2 Hf 2.94
I 0.2500 0.3438 0.2182  2 Hf 2.94
Hf 0.2500 0.1053 0.7303  4 Sb 2.86-2.91, 2 I 2.94
Hf 0.7500 0.8947 0.7697  4 Sb 2.86-2.91, 2 I 2.94
Hf 0.7500 0.8947 0.2697  4 Sb 2.86-2.91, 2 I 2.94
Hf 0.2500 0.1053 0.2303  4 Sb 2.86-2.91, 2 I 2.94
Sb 0.2500 0.8717 0.7468  4 Hf 2.86-2.91
Sb 0.7500 0.1283 0.7532  4 Hf 2.86-2.91
Sb 0.7500 0.1283 0.2532  4 Hf 2.86-2.91
Sb 0.2500 0.8717 0.2468  4 Hf 2.86-2.91

***

(5)
The following is a DFT calculation (PBE-GGA) of crystalline La12Pm3Pu at its relaxed geometry.

The calculation puts the calculated formation energy at 0.18 eV/atom. The symmetry is P4/mmm.

Cell lengths 5.1884, 5.1884, 20.7755 Å; angles 90.00, 90.00, 90.00 degrees
Closest atoms and distances in Å follow each position.
Positions (direct):
La 0.5000 0.5000 0.0000  8 La 3.51, 4 Pu 3.67
La 0.5000 0.5000 0.2465  4 Pm 3.67, 8 La 3.69-3.78
La 0.5000 0.5000 0.5000  4 Pm 3.67, 8 La 3.71
La 0.5000 0.5000 0.7535  4 Pm 3.67, 8 La 3.69-3.78
La 0.5000 0.0000 0.1138  8 La 3.51-3.78, 2 Pu 3.51, 2 Pm 3.78
La 0.5000 0.0000 0.3726  8 La 3.67-3.71, 4 Pm 3.69-3.71
La 0.5000 0.0000 0.6274  8 La 3.67-3.71, 4 Pm 3.69-3.71
La 0.5000 0.0000 0.8862  8 La 3.51-3.78, 2 Pu 3.51, 2 Pm 3.78
La 0.0000 0.5000 0.1138  8 La 3.51-3.78, 2 Pu 3.51, 2 Pm 3.78
La 0.0000 0.5000 0.3726  8 La 3.67-3.71, 4 Pm 3.69-3.71
La 0.0000 0.5000 0.6274  8 La 3.67-3.71, 4 Pm 3.69-3.71
La 0.0000 0.5000 0.8862  8 La 3.51-3.78, 2 Pu 3.51, 2 Pm 3.78
Pm 0.0000 0.0000 0.2464  12 La 3.67-3.78
Pm 0.0000 0.0000 0.5000  12 La 3.67-3.71
Pm 0.0000 0.0000 0.7536  12 La 3.67-3.78
Pu 0.0000 0.0000 0.0000  12 La 3.51-3.67

***

(6)
The following is a DFT calculation (PBE-GGA) of crystalline Mg2PtAu6 at its relaxed geometry.

The calculation puts the calculated formation energy at -0.37 eV/atom. The symmetry is C2/m.

Cell lengths 3.9616, 6.6530, 6.6098 Å; angles 107.57, 107.44, 90.00 degrees
Closest atoms and distances in Å follow each position.
Positions (direct):
Mg 0.9437 0.1865 0.8873  2 Pt 2.80, 9 Au 2.82-3.05
Mg 0.0563 0.8135 0.1127  2 Pt 2.80, 9 Au 2.82-3.05
Pt 0.5000 0.5000 0.0000  4 Mg 2.80, 8 Au 2.88-2.95
Au 0.3963 0.8371 0.7925  7 Au 2.82-3.05, 4 Mg 2.87-2.97, 1 Pt 2.93
Au 0.6037 0.1629 0.2075  7 Au 2.82-3.05, 4 Mg 2.87-2.97, 1 Pt 2.93
Au 0.7189 0.8369 0.4378  3 Mg 2.82-3.05, 8 Au 2.86-3.04, 1 Pt 2.95
Au 0.1658 0.5018 0.3316  2 Mg 2.83-2.92, 2 Pt 2.88, 8 Au 2.90-3.05
Au 0.2811 0.1631 0.5622  3 Mg 2.82-3.05, 8 Au 2.86-3.04, 1 Pt 2.95
Au 0.8342 0.4982 0.6684  2 Mg 2.83-2.92, 2 Pt 2.88, 8 Au 2.90-3.05

***

no.,total energy (eV/atom),M_tot (μB per formula unit)
1,-6.09,0.34
2,-6.26,1.52
3,-4.40,0.00
4,-5.73,0.00
5,-5.30,0.10
6,-3.58,0.00